# Sc4BSb2 PBE-GGA optimized geometry
# Spin magnetization in μB/cell: 0.0
# E_form (uncorrected) in eV/atom: -0.7645
# Calculated total energy in eV/atom: -6.514
data_Sc4BSb2
_chemical_formula_sum 'Sc8 B2 Sb4'
_cell_length_a 4.558
_cell_length_b 4.558
_cell_length_c 14.860
_cell_angle_alpha 90.00
_cell_angle_beta 90.00
_cell_angle_gamma 90.00
_symmetry_space_group_name_H-M 'I 4/m m m'
_symmetry_Int_Tables_number 139
_symmetry_space_group_name_Hall '-I 4 2'
loop_
_atom_site_label
_atom_site_type_symbol
_atom_site_fract_x
_atom_site_fract_y
_atom_site_fract_z
Sc1 Sc 0.000 0.000 0.158
Sc2 Sc 0.000 0.500 0.000
B1 B 0.000 0.000 0.000
Sb1 Sb 0.000 0.000 0.357